The following is a DFT calculation (PBE) of a relaxed BaTl3Ag crystal.

Cell: 6.5041 6.5041 6.5041 Å, 90.00 90.00 90.00°
Sites, in units of the cell vectors:
Tl 0.0000 0.5000 0.0000
Tl 0.0000 0.0000 0.5000
Tl 0.5000 0.0000 0.0000
Ba 0.0000 0.0000 0.0000
Ag 0.5000 0.5000 0.5000

- Space group: Pm-3m (221)
- DFT formation energy: 4.144 eV/f.u.



The following is a DFT calculation (PBE) of a relaxed SmAg2TeSe4 crystal.

Cell: 8.2877 8.2877 8.3324 Å, 120.60 120.60 86.49°
Sites, in units of the cell vectors:
Sm 0.0000 0.5000 0.0000
Sm 0.0000 0.5000 0.5000
Ag 0.5000 0.0000 0.0000
Ag 0.5000 0.0000 0.5000
Ag 0.0000 0.0000 0.5000
Ag 0.5000 0.5000 0.0000
Te 0.5000 0.5000 0.5000
Te 0.0000 0.0000 0.0000
Se 0.2437 0.7409 0.9965
Se 0.7591 0.2563 0.5035
Se 0.2409 0.7437 0.4965
Se 0.7563 0.2591 0.0035
Se 0.7833 0.8022 0.0497
Se 0.6978 0.7167 0.4503
Se 0.3022 0.2833 0.5497
Se 0.2167 0.1978 0.9503

- Space group: C2/c (15)



The following is a DFT calculation (PBE) of a relaxed CaSiH crystal.

Cell: 3.4658 4.0273 4.3602 Å, 73.59 72.79 70.12°
Sites, in units of the cell vectors:
Ca 0.2378 0.9530 0.7493
Si 0.7299 0.4672 0.2559
H 0.8794 0.0436 0.3036

- Space group: P1 (1)
- Energy relative to the lowest polymorph listed for this composition: 322.6 meV per atom



The following is a DFT calculation (PBE) of a relaxed Tc2PdS crystal.

Cell: 5.4110 5.4110 6.5987 Å, 65.79 65.79 90.00°
Sites, in units of the cell vectors:
S 0.5000 0.5000 0.0000
S 0.2500 0.7500 0.5000
Tc 0.5847 0.1250 0.2500
Tc 0.1653 0.6250 0.2500
Tc 0.3750 0.4153 0.7500
Tc 0.8750 0.8347 0.7500
Pd 0.0000 0.0000 0.0000
Pd 0.7500 0.2500 0.5000

- Space group: I-42d (122)
- Energy relative to the lowest polymorph listed for this composition: 406.5 meV per atom



The following is a DFT calculation (PBE) of a relaxed Th2NbGe crystal.

Cell: 3.2887 3.2887 11.0834 Å, 81.47 81.47 60.00°
Sites, in units of the cell vectors:
Nb 0.0000 0.0000 0.0000
Ge 0.5000 0.5000 0.5000
Th 0.0889 0.0889 0.7334
Th 0.9111 0.9111 0.2666

- Space group: R-3m (166)
- DFT formation energy: 1.568 eV/f.u.



The following is a DFT calculation (PBE) of a relaxed TmScGaPd crystal.

Cell: 4.8443 4.8443 4.8443 Å, 60.00 60.00 60.00°
Sites, in units of the cell vectors:
Sc 0.7500 0.7500 0.7500
Tm 0.2500 0.2500 0.2500
Ga 0.5000 0.5000 0.5000
Pd 0.0000 0.0000 0.0000

- Space group: F-43m (216)
- Energy relative to the lowest polymorph listed for this composition: 25.5 meV per atom
- DFT formation energy: -2.907 eV/f.u.



Total energy readings, ordered: -7.73 -63.76 -11.18 -54.56 -27.96 -21.93 eV/cell
Total moment readings, ordered: 0.0 0.0 0.0 0.0 0.0 0.0 μB/f.u.